1.
Crystalline CaPmPrEu at its relaxed geometry, computed with PBE.

The energy relative to the elements is 0.116 eV per atom. The value obtained for the total moment is 7.19 μB/f.u. The calculation puts the excess energy over the best structure of this formula in the dataset at 0.000 eV/atom. The calculation puts the calculated density at 5.23 g cm⁻³.

The structure belongs to space group F-43m (No. 216); the cell edges are 8.465, 8.465 and 8.465 Å and the angles 90.00°, 90.00° and 90.00°. Symmetry generates all atoms from Ca at (0.000, 0.000, 0.000), Pm at (0.000, 0.000, 0.500), Pr at (0.250, 0.250, 0.250) and Eu at (0.250, 0.250, 0.750).

=====

2.
Crystalline CaPmEuSn at its relaxed geometry, computed with PBE.

The energy relative to the elements is -0.295 eV per atom. The value obtained for the total moment is 7.30 μB/f.u. The calculation puts the calculated density at 6.05 g cm⁻³.

The structure belongs to space group F-43m (No. 216); the cell edges are 7.938, 7.938 and 7.938 Å and the angles 90.00°, 90.00° and 90.00°. Symmetry generates all atoms from Ca at (0.000, 0.000, 0.000), Pm at (0.250, 0.250, 0.750), Eu at (0.250, 0.250, 0.250) and Sn at (0.000, 0.000, 0.500).

=====

3.
Crystalline CaPmEuTl at its relaxed geometry, computed with PBE.

The energy relative to the elements is -0.112 eV per atom. The value obtained for the total moment is 7.48 μB/f.u. The calculation puts the calculated density at 6.86 g cm⁻³.

The structure belongs to space group F-43m (No. 216); the cell edges are 8.065, 8.065 and 8.065 Å and the angles 90.00°, 90.00° and 90.00°. Symmetry generates all atoms from Ca at (0.000, 0.000, 0.000), Pm at (0.250, 0.250, 0.250), Eu at (0.250, 0.250, 0.750) and Tl at (0.000, 0.000, 0.500).

=====

4.
Crystalline CaPmEuTm at its relaxed geometry, computed with PBE.

The energy relative to the elements is 0.138 eV per atom. The value obtained for the total moment is 7.24 μB/f.u. The calculation puts the calculated density at 5.85 g cm⁻³.

The structure belongs to space group F-43m (No. 216); the cell edges are 8.311, 8.311 and 8.311 Å and the angles 90.00°, 90.00° and 90.00°. Symmetry generates all atoms from Ca at (0.000, 0.000, 0.000), Pm at (0.250, 0.250, 0.750), Eu at (0.250, 0.250, 0.250) and Tm at (0.000, 0.000, 0.500).

=====

5.
Crystalline CaPmEuZn at its relaxed geometry, computed with PBE.

The energy relative to the elements is 0.079 eV per atom. The value obtained for the total moment is 7.66 μB/f.u. The calculation puts the calculated density at 5.51 g cm⁻³.

The structure belongs to space group F-43m (No. 216); the cell edges are 7.858, 7.858 and 7.858 Å and the angles 90.00°, 90.00° and 90.00°. Symmetry generates all atoms from Ca at (0.000, 0.000, 0.000), Pm at (0.000, 0.000, 0.500), Eu at (0.250, 0.250, 0.250) and Zn at (0.250, 0.250, 0.750).

=====

6.
Crystalline Ca2PrEu at its relaxed geometry, computed with PBE.

The energy relative to the elements is 0.062 eV per atom. The value obtained for the total moment is 7.39 μB/f.u. The calculation puts the excess energy over the best structure of this formula in the dataset at 0.000 eV/atom. The calculation puts the calculated density at 3.86 g cm⁻³.

The structure belongs to space group P4/mmm (No. 123); the cell edges are 4.222, 4.222 and 9.008 Å and the angles 90.00°, 90.00° and 90.00°. Symmetry generates all atoms from Ca at (0.000, 0.000, 0.240), Pr at (0.500, 0.500, 0.000) and Eu at (0.500, 0.500, 0.500).

=====

7.
Crystalline CaPrEu4 at its relaxed geometry, computed with PBE.

The energy relative to the elements is 0.176 eV per atom. The value obtained for the total moment is 30.89 μB/f.u. The calculation puts the calculated density at 5.21 g cm⁻³.

The structure belongs to space group F-43m (No. 216); the cell edges are 10.021, 10.021 and 10.021 Å and the angles 90.00°, 90.00° and 90.00°. Symmetry generates all atoms from Ca at (0.000, 0.000, 0.000), Pr at (0.250, 0.250, 0.250) and Eu at (0.124, 0.124, 0.624).

=====

8.
Crystalline Ca4PrEu at its relaxed geometry, computed with PBE.

The energy relative to the elements is 0.194 eV per atom. The value obtained for the total moment is 8.54 μB/f.u. The calculation puts the calculated density at 2.90 g cm⁻³.

The structure belongs to space group F-43m (No. 216); the cell edges are 10.124, 10.124 and 10.124 Å and the angles 90.00°, 90.00° and 90.00°. Symmetry generates all atoms from Ca at (0.124, 0.124, 0.376), Pr at (0.250, 0.250, 0.750) and Eu at (0.000, 0.000, 0.000).